Computed, not measured: a relaxed structure of AgHg2I at the GGA-PBE level of DFT.

Results
Energy relative to the elements, uncorrected   -9.08 kJ per mole of atoms
Energy relative to the lowest polymorph listed for this composition   6 meV per atom
Energy   -1.345 eV/atom

Cell and atoms, written as CIF:
```
data_AgHg2I
_cell_length_a 14.564
_cell_length_b 4.447
_cell_length_c 10.083
_cell_angle_alpha 90.00
_cell_angle_beta 127.36
_cell_angle_gamma 90.00
_symmetry_space_group_name_H-M 'P 1'
_symmetry_Int_Tables_number 1
_symmetry_space_group_name_Hall 'P 1'
loop_
_atom_site_label
_atom_site_type_symbol
_atom_site_fract_x
_atom_site_fract_y
_atom_site_fract_z
Ag1 Ag 0.237 0.000 0.346
Ag2 Ag 0.263 0.500 0.654
Ag3 Ag 0.737 0.500 0.346
Ag4 Ag 0.763 0.000 0.654
Hg1 Hg 0.123 0.000 0.664
Hg2 Hg 0.172 0.000 0.014
Hg3 Hg 0.328 0.500 0.986
Hg4 Hg 0.377 0.500 0.336
Hg5 Hg 0.623 0.500 0.664
Hg6 Hg 0.672 0.500 0.014
Hg7 Hg 0.828 0.000 0.986
Hg8 Hg 0.877 0.000 0.336
I1 I 0.086 0.500 0.293
I2 I 0.414 0.000 0.707
I3 I 0.586 0.000 0.293
I4 I 0.914 0.500 0.707
```